1.
# PBE-GGA DyTm3Sn3, relaxed
# * crystal system: trigonal
data_DyTm3Sn3
_symmetry_space_group_name_H-M 'R 3 m'
_symmetry_Int_Tables_number 160
_symmetry_space_group_name_Hall 'R 3 -2"'
_cell_length_a 10.3736
_cell_length_b 10.3736
_cell_length_c 6.3332
_cell_angle_alpha 90.00
_cell_angle_beta 90.00
_cell_angle_gamma 120.00
loop_
_atom_site_label
_atom_site_fract_x
_atom_site_fract_y
_atom_site_fract_z
Dy1 0.0000 0.0000 0.0000
Tm1 0.1985 0.3970 0.2040
Sn1 0.0012 0.5006 0.4028


2.
# PBE-GGA Dy4Tm3Sn4, relaxed
# * crystal system: orthorhombic
data_Dy4Tm3Sn4
_symmetry_space_group_name_H-M 'I m m m'
_symmetry_Int_Tables_number 71
_symmetry_space_group_name_Hall '-I 2 2'
_cell_length_a 3.504
_cell_length_b 9.493
_cell_length_c 18.609
_cell_angle_alpha 90.00
_cell_angle_beta 90.00
_cell_angle_gamma 90.00
loop_
_atom_site_label
_atom_site_fract_x
_atom_site_fract_y
_atom_site_fract_z
Dy1 0.000 0.181 0.162
Tm1 0.000 0.000 0.407
Tm2 0.000 0.500 0.500
Sn1 0.000 0.281 0.000
Sn2 0.000 0.500 0.228


3.
# PBE-GGA Dy5TmSn4, relaxed
# * crystal system: monoclinic
data_Dy5TmSn4
_symmetry_space_group_name_H-M 'C 1 2/m 1'
_symmetry_Int_Tables_number 12
_cell_length_a 18.898
_cell_length_b 3.654
_cell_length_c 9.511
_cell_angle_alpha 90.00
_cell_angle_beta 105.72
_cell_angle_gamma 90.00
loop_
_symmetry_equiv_pos_as_xyz
'x,y,z'
'-x,-y,-z'
'-x,y,-z'
'x,-y,z'
'x+1/2,y+1/2,z'
'-x+1/2,-y+1/2,-z'
'-x+1/2,y+1/2,-z'
'x+1/2,-y+1/2,z'
loop_
_atom_site_label
_atom_site_fract_x
_atom_site_fract_y
_atom_site_fract_z
Dy1 0.000 0.000 0.000
Dy2 0.165 0.500 0.312
Dy3 0.176 0.500 0.860
Tm1 0.000 0.000 0.500
Sn1 0.005 0.500 0.754
Sn2 0.167 0.000 0.586


4.
# PBE-GGA Dy3TmSn3, relaxed
# * crystal system: hexagonal
data_Dy3TmSn3
_symmetry_space_group_name_H-M 'P 63/m'
_symmetry_Int_Tables_number 176
_symmetry_space_group_name_Hall '-P 6c'
_cell_length_a 9.3489
_cell_length_b 9.3489
_cell_length_c 6.0682
_cell_angle_alpha 90.00
_cell_angle_beta 90.00
_cell_angle_gamma 120.00
loop_
_atom_site_label
_atom_site_fract_x
_atom_site_fract_y
_atom_site_fract_z
Dy1 0.0189 0.6992 0.2500
Tm1 0.3333 0.6667 0.7500
Sn1 0.0006 0.3516 0.2500


5.
# PBE-GGA Dy2TmSn, relaxed
# * crystal system: tetragonal
# * polymorph energy (0 for the lowest one): 0.0 meV/atom
data_Dy2TmSn
_symmetry_space_group_name_H-M 'P 4/m m m'
_symmetry_Int_Tables_number 123
_symmetry_space_group_name_Hall '-P 4 2'
_cell_length_a 4.780
_cell_length_b 4.780
_cell_length_c 4.792
_cell_angle_alpha 90.00
_cell_angle_beta 90.00
_cell_angle_gamma 90.00
loop_
_atom_site_label
_atom_site_fract_x
_atom_site_fract_y
_atom_site_fract_z
Dy1 0.000 0.500 0.000
Tm1 0.000 0.000 0.500
Sn1 0.500 0.500 0.500


6.
# PBE-GGA DyTm2Sn, relaxed
# * crystal system: monoclinic
# * polymorph energy (0 for the lowest one): 12.4 meV/atom
data_DyTm2Sn
_symmetry_space_group_name_H-M 'P 1 21/m 1'
_symmetry_Int_Tables_number 11
_cell_length_a 6.695
_cell_length_b 5.132
_cell_length_c 6.747
_cell_angle_alpha 90.00
_cell_angle_beta 103.89
_cell_angle_gamma 90.00
loop_
_symmetry_equiv_pos_as_xyz
'x,y,z'
'-x,-y,-z'
'-x,y+1/2,-z'
'x,-y+1/2,z'
loop_
_atom_site_label
_atom_site_fract_x
_atom_site_fract_y
_atom_site_fract_z
Dy1 0.127 0.250 0.410
Tm1 0.156 0.250 0.918
Tm2 0.372 0.750 0.233
Sn1 0.369 0.750 0.723


| no. | total magnetic moment (μB per cell) | energy of formation from the pure elements (kJ/mol of formula units) | E (eV for the cell shown) |
| --- | --- | --- | --- |
| 1 | 0.000 | -335 | -100.49 |
| 2 | 0.001 | -535 | -106.77 |
| 3 | 0.000 | -296 | -93.11 |
| 4 | 0.000 | -258 | -65.92 |
| 5 | 0.001 | -158 | -19.31 |
| 6 | 0.001 | -151 | -38.24 |